{"formula": "GeAsRh3", "functional": "GGA-PBE", "state": "relaxed", "polymorph_energy_mev_per_atom": 0.0, "crystal_system": "orthorhombic", "formation_energy_ev_per_fu": -1.95, "lattice": [[3.992, 0.000, 0.000], [0.000, 7.350, 0.000], [0.000, 0.000, 5.711]], "species": ["Ge", "Ge", "As", "As", "Rh", "Rh", "Rh", "Rh", "Rh", "Rh"], "frac_coords": [[0.000, 0.151, 0.000], [0.000, 0.849, 0.500], [0.500, 0.360, 0.551], [0.500, 0.640, 0.051], [0.000, 0.185, 0.440], [0.000, 0.815, 0.940], [0.500, 0.060, 0.751], [0.500, 0.320, 0.131], [0.500, 0.680, 0.631], [0.500, 0.940, 0.251]]}